# 1
Computed, not measured: crystalline Na2Pd2Pb at its relaxed geometry at the PBE level of DFT.

Summary:
Magnetic moment in μB per cell: 0.0
Raw total energy in eV/atom: -3.295
Energy of formation from the pure elements in eV/atom: 0.051
Fermi-level density of states in states/eV/f.u.: 1.49

Lattice parameters (Å, degrees): 3.9707 3.9707 7.4916 74.63 74.63 90.00
Positions (direct):
Pd: 0.5955 0.5955 0.8091
Pd: 0.4045 0.4045 0.1909
Pb: 0.0000 0.0000 0.0000
Na: 0.7500 0.2500 0.5000
Na: 0.2500 0.7500 0.5000



# 2
Computed, not measured: crystalline Na2PdPb at its relaxed geometry at the PBE level of DFT.

Summary:
Magnetic moment in μB per cell: 0.0
Raw total energy in eV/atom: -2.696
Energy of formation from the pure elements in eV/atom: 0.189
Fermi-level density of states in states/eV/f.u.: 2.90

Lattice parameters (Å, degrees): 3.2616 3.2616 11.1982 81.63 81.63 60.00
Positions (direct):
Pb: 0.5000 0.5000 0.5000
Pd: 0.0000 0.0000 0.0000
Na: 0.0812 0.0812 0.7563
Na: 0.9188 0.9188 0.2437



# 3
Computed, not measured: crystalline NaPrPdPb at its relaxed geometry at the PBE level of DFT.

Summary:
Magnetic moment in μB per cell: 0.0
Raw total energy in eV/atom: -4.205
Energy of formation from the pure elements in eV/atom: -0.455
Fermi-level density of states in states/eV/f.u.: 0.41

Lattice parameters (Å, degrees): 5.0700 5.0700 5.0700 60.00 60.00 60.00
Positions (direct):
Pr: 0.7500 0.7500 0.7500
Pb: 0.2500 0.2500 0.2500
Na: 0.0000 0.0000 0.0000
Pd: 0.5000 0.5000 0.5000